Entry 1:
GGA-PBE SrSi2PdPt2, relaxed; crystal system = trigonal; total magnetic moment = 0.000 μB/f.u.; energy relative to the elements, uncorrected = -5.1 eV/f.u.
1.0
4.227 0.000 0.000
-2.113 3.661 0.000
0.000 0.000 7.301
Sr Si Pd Pt
1 2 1 2
direct
0.000 0.000 0.000
0.333 0.667 0.326
0.667 0.333 0.674
0.000 0.000 0.500
0.333 0.667 0.687
0.667 0.333 0.313



Entry 2:
GGA-PBE Y2PdAu2, relaxed; ΔH_f (0 K) = -3.0 eV per formula unit; crystal system = tetragonal; total magnetic moment = 0.000 μB/f.u.; E above lowest polymorph = 179 meV/atom
1.0
7.939 0.000 0.000
0.000 7.939 0.000
0.000 0.000 3.734
Y Pd Au
4 2 4
direct
0.167 0.333 0.000
0.333 0.833 0.000
0.667 0.167 0.000
0.833 0.667 0.000
0.000 0.000 0.000
0.500 0.500 0.000
0.131 0.631 0.500
0.369 0.131 0.500
0.631 0.869 0.500
0.869 0.369 0.500



Entry 3:
GGA-PBE Zr2TaIr, relaxed; ΔH_f (0 K) = -0.3 eV per formula unit; crystal system = trigonal; total magnetic moment = 0.000 μB/f.u.; E above lowest polymorph = 322 meV/atom
1.0
1.551 0.896 9.441
-1.551 0.896 9.441
0.000 -1.791 9.441
Zr Ta Ir
2 1 1
direct
0.000 0.000 0.000
0.239 0.239 0.239
0.486 0.486 0.486
0.748 0.748 0.748



Entry 4:
GGA-PBE KHfInAu2, relaxed; ΔH_f (0 K) = 5.0 eV per formula unit; crystal system = tetragonal; total magnetic moment = 0.000 μB/f.u.
1.0
5.165 0.000 0.000
0.000 5.165 0.000
0.000 0.000 5.534
K Hf In Au
1 1 1 2
direct
0.000 0.000 0.000
0.500 0.500 0.000
0.000 0.000 0.500
0.000 0.500 0.500
0.500 0.000 0.500



Entry 5:
GGA-PBE SnTePb, relaxed; crystal system = trigonal; total magnetic moment = 0.000 μB/f.u.; E above lowest polymorph = 0 meV/atom; energy relative to the elements, uncorrected = 0.1 eV/f.u.
1.0
5.059 0.000 0.000
-2.530 4.381 0.000
0.000 0.000 4.259
Sn Te Pb
1 1 1
direct
0.000 0.000 0.000
0.667 0.333 0.715
0.333 0.667 0.351



Entry 6:
GGA-PBE NbBiOsRu2, relaxed; ΔH_f (0 K) = 6.1 eV per formula unit; crystal system = tetragonal; total magnetic moment = 0.624 μB/f.u.
1.0
4.744 0.000 0.000
0.000 4.744 0.000
0.000 0.000 4.882
Nb Bi Os Ru
1 1 1 2
direct
0.000 0.000 0.000
0.500 0.500 0.000
0.000 0.000 0.500
0.000 0.500 0.500
0.500 0.000 0.500



Please write out number 2 again, unchanged.
GGA-PBE Y2PdAu2, relaxed; ΔH_f (0 K) = -3.0 eV per formula unit; crystal system = tetragonal; total magnetic moment = 0.000 μB/f.u.; E above lowest polymorph = 179 meV/atom
1.0
7.939 0.000 0.000
0.000 7.939 0.000
0.000 0.000 3.734
Y Pd Au
4 2 4
direct
0.167 0.333 0.000
0.333 0.833 0.000
0.667 0.167 0.000
0.833 0.667 0.000
0.000 0.000 0.000
0.500 0.500 0.000
0.131 0.631 0.500
0.369 0.131 0.500
0.631 0.869 0.500
0.869 0.369 0.500



Repeat the fourth record exactly.
GGA-PBE KHfInAu2, relaxed; ΔH_f (0 K) = 5.0 eV per formula unit; crystal system = tetragonal; total magnetic moment = 0.000 μB/f.u.
1.0
5.165 0.000 0.000
0.000 5.165 0.000
0.000 0.000 5.534
K Hf In Au
1 1 1 2
direct
0.000 0.000 0.000
0.500 0.500 0.000
0.000 0.000 0.500
0.000 0.500 0.500
0.500 0.000 0.500



- What is the total magnetic moment in the third record?
  0.000 μB/f.u.